Entry 1:
VASP calculation (PBE) on an optimized crystal structure of La4Tb5Th.

abc: 3.6629 3.6629 25.4031
angles: 90.00 90.00 90.00
Closest atoms and distances in Å follow each position.
Fractional coordinates of all 10 atoms:
La  0.0000  0.0000  0.1005  8 Tb 3.64-3.65, 4 La 3.66
La  0.0000  0.0000  0.3020  8 Tb 3.64-3.70, 4 La 3.66
La  0.0000  0.0000  0.6980  8 Tb 3.64-3.70, 4 La 3.66
La  0.0000  0.0000  0.8995  8 Tb 3.64-3.65, 4 La 3.66
Tb  0.5000  0.5000  0.0000  8 La 3.64, 4 Tb 3.66
Tb  0.5000  0.5000  0.2016  8 La 3.64-3.65, 4 Tb 3.66
Tb  0.5000  0.5000  0.4062  4 Th 3.52, 4 Tb 3.66, 4 La 3.70
Tb  0.5000  0.5000  0.5938  4 Th 3.52, 4 Tb 3.66, 4 La 3.70
Tb  0.5000  0.5000  0.7984  8 La 3.64-3.65, 4 Tb 3.66
Th  0.0000  0.0000  0.5000  8 Tb 3.52, 4 Th 3.66

Properties
SG: No. 123
V, Å³/atom: 34.08
Relative energy among the computed polymorphs, kJ/mol of formula units: 0
Energy of formation from the pure elements, eV/f.u.: 0.22
Density of states at the Fermi level, states/eV per cell: 15.1

=====

Entry 2:
VASP calculation (PBE) on an optimized crystal structure of La2Tb2Th.

abc: 9.3301 9.3301 3.5797
angles: 90.00 90.00 147.20
Closest atoms and distances in Å follow each position.
Fractional coordinates of all 5 atoms:
La  0.1945  0.8055  0.0000  4 La 3.30-3.58, 1 Th 3.48, 4 Tb 3.63
La  0.8055  0.1945  0.0000  4 La 3.30-3.58, 1 Th 3.48, 4 Tb 3.63
Tb  0.4032  0.5968  0.5000  3 Tb 3.47-3.58, 4 Th 3.63, 4 La 3.63
Tb  0.5968  0.4032  0.5000  3 Tb 3.47-3.58, 4 Th 3.63, 4 La 3.63
Th  0.0000  0.0000  0.0000  2 La 3.48, 2 Th 3.58, 8 Tb 3.63

Properties
SG: No. 65
V, Å³/atom: 33.76
Relative energy among the computed polymorphs, kJ/mol of formula units: 20
Energy of formation from the pure elements, eV/f.u.: 0.32
Density of states at the Fermi level, states/eV per cell: 7.0

=====

Entry 3:
VASP calculation (PBE) on an optimized crystal structure of La4Tb2Th3.

abc: 9.7493 9.7493 9.7493
angles: 159.00 104.16 79.74
Closest atoms and distances in Å follow each position.
Fractional coordinates of all 9 atoms:
La  0.1187  0.8707  0.2479  3 Th 3.48-3.59, 3 La 3.55-3.87, 2 Tb 3.66
La  0.3772  0.1293  0.2479  3 Th 3.48-3.59, 3 La 3.55-3.87, 2 Tb 3.66
La  0.6228  0.8707  0.7521  3 Th 3.48-3.59, 3 La 3.55-3.87, 2 Tb 3.66
La  0.8813  0.1293  0.7521  3 Th 3.48-3.59, 3 La 3.55-3.87, 2 Tb 3.66
Tb  0.3007  0.3007  0.0000  4 Th 3.44-3.47, 2 Tb 3.55, 4 La 3.66
Tb  0.6993  0.6993  0.0000  4 Th 3.44-3.47, 2 Tb 3.55, 4 La 3.66
Th  0.1036  0.6036  0.5000  1 Th 3.10, 2 Tb 3.44
Th  0.5000  0.0000  0.5000  4 Tb 3.47, 2 Th 3.55, 4 La 3.59
Th  0.8964  0.3964  0.5000  1 Th 3.10, 2 Tb 3.44

Properties
SG: No. 71
V, Å³/atom: 35.40
Energy of formation from the pure elements, eV/f.u.: 2.12
Density of states at the Fermi level, states/eV per cell: 16.2

=====

Entry 4:
VASP calculation (PBE) on an optimized crystal structure of La8Tb4Th.

abc: 7.9301 7.9301 7.9301
angles: 97.08 97.08 97.08
Closest atoms and distances in Å follow each position.
Fractional coordinates of all 13 atoms:
La  0.1733  0.1733  0.6726  3 Tb 3.43-3.44, 3 La 3.44-3.63
La  0.1733  0.6726  0.1733  3 Tb 3.43-3.44, 3 La 3.44-3.63
La  0.2402  0.2402  0.2402  1 Tb 2.86, 1 Th 3.10
La  0.3274  0.8267  0.8267  3 Tb 3.43-3.44, 3 La 3.44-3.63
La  0.6726  0.1733  0.1733  3 Tb 3.43-3.44, 3 La 3.44-3.63
La  0.7598  0.7598  0.7598  1 Tb 2.86, 1 Th 3.10
La  0.8267  0.3274  0.8267  3 Tb 3.43-3.44, 3 La 3.44-3.63
La  0.8267  0.8267  0.3274  3 Tb 3.43-3.44, 3 La 3.44-3.63
Tb  0.0000  0.0000  0.0000  2 La 2.86
Tb  0.0000  0.5000  0.5000  6 La 3.43-3.61
Tb  0.5000  0.0000  0.5000  6 La 3.43-3.61
Tb  0.5000  0.5000  0.0000  6 La 3.43-3.61
Th  0.5000  0.5000  0.5000  2 La 3.10

Properties
SG: No. 166
V, Å³/atom: 37.40
Energy of formation from the pure elements, eV/f.u.: 5.15
Density of states at the Fermi level, states/eV per cell: 26.6

=====

Entry 5:
VASP calculation (PBE) on an optimized crystal structure of La6TbTh2.

abc: 3.6464 3.6464 27.5695
angles: 90.00 90.00 120.00
Closest atoms and distances in Å follow each position.
Fractional coordinates of all 9 atoms:
La  0.0000  0.0000  0.0632  7 La 3.49-3.65, 3 Th 3.61
La  0.0000  0.0000  0.2771  3 Th 3.63, 9 La 3.65-3.84
La  0.0000  0.0000  0.7229  3 Th 3.63, 9 La 3.65-3.84
La  0.0000  0.0000  0.9368  7 La 3.49-3.65, 3 Th 3.61
La  0.3333  0.6667  0.3936  3 Tb 3.61, 9 La 3.65-3.84
La  0.3333  0.6667  0.6064  3 Tb 3.61, 9 La 3.65-3.84
Tb  0.0000  0.0000  0.5000  6 La 3.61, 6 Tb 3.65
Th  0.3333  0.6667  0.1698  6 La 3.61-3.63, 6 Th 3.65
Th  0.3333  0.6667  0.8302  6 La 3.61-3.63, 6 Th 3.65

Properties
SG: No. 187
V, Å³/atom: 35.27
Energy of formation from the pure elements, eV/f.u.: 0.56
Density of states at the Fermi level, states/eV per cell: 16.1

=====

Entry 6:
VASP calculation (PBE) on an optimized crystal structure of La2Tb4Th5.

abc: 9.6464 3.5791 10.7750
angles: 90.00 92.43 90.00
Closest atoms and distances in Å follow each position.
Fractional coordinates of all 11 atoms:
La  0.0805  0.0000  0.3764  1 La 3.14, 2 Th 3.32-3.43, 2 Tb 3.51
La  0.9195  0.0000  0.6236  1 La 3.14, 2 Th 3.32-3.43, 2 Tb 3.51
Tb  0.2199  0.5000  0.1310  6 Th 3.37-3.58, 2 La 3.51, 2 Tb 3.58
Tb  0.2651  0.5000  0.6271  4 Th 3.42-3.51, 2 Tb 3.58, 4 La 3.64-3.78
Tb  0.7349  0.5000  0.3729  4 Th 3.42-3.51, 2 Tb 3.58, 4 La 3.64-3.78
Tb  0.7801  0.5000  0.8690  6 Th 3.37-3.58, 2 La 3.51, 2 Tb 3.58
Th  0.1307  0.0000  0.8746  1 La 3.32, 4 Tb 3.37-3.51, 2 Th 3.58
Th  0.4333  0.0000  0.3509  3 Th 3.41-3.58, 4 Tb 3.42-3.56, 1 La 3.43
Th  0.5000  0.0000  0.0000  6 Th 3.58-3.86, 4 Tb 3.58
Th  0.5667  0.0000  0.6491  3 Th 3.41-3.58, 4 Tb 3.42-3.56, 1 La 3.43
Th  0.8693  0.0000  0.1254  1 La 3.32, 4 Tb 3.37-3.51, 2 Th 3.58

Properties
SG: No. 10
V, Å³/atom: 33.79
Energy of formation from the pure elements, eV/f.u.: 2.64
Density of states at the Fermi level, states/eV per cell: 19.2